# ErMoO4F

An optimized crystal structure of ErMoO4F (PBE+U, the Alexandria database).

a b c (Å): 5.9937 5.9937 7.0118
angles (deg): 75.43 75.43 75.33
Atoms (fractional coordinates):
Er (0.7981, 0.7981, 0.1099)
F (0.9849, 0.9849, 0.8308)
O (0.8997, 0.5155, 0.8425)
Mo (0.6524, 0.6524, 0.7199)
F (0.0151, 0.0151, 0.1692)
O (0.4845, 0.1003, 0.1575)
Mo (0.3476, 0.3476, 0.2801)
O (0.4562, 0.4562, 0.7758)
O (0.1003, 0.4845, 0.1575)
Er (0.2019, 0.2019, 0.8901)
O (0.2587, 0.2587, 0.5439)
O (0.5155, 0.8997, 0.8425)
O (0.7413, 0.7413, 0.4561)
O (0.5438, 0.5438, 0.2242)

Output
M_tot (μB per formula unit): 0.000
Space-group type: C2/m, No. 12
ΔE to the lowest computed polymorph (eV/atom): 0.005
Total energy (eV/atom): -7.383